# 1
Entry from the Alexandria database: a geometry-optimized CeTiBe4 structure (GGA-PBE).

space group	No. 216
energy	-28.5	eV for the cell shown

Cell: 4.7872 4.7872 4.7872 Å, 60.00 60.00 60.00°
Atoms (fractional coordinates):
Ce1 0.0000 0.0000 0.0000
Ti1 0.7500 0.7500 0.7500
Be1 0.3780 0.3780 0.3780
Be2 0.3780 0.3780 0.8661
Be3 0.3780 0.8661 0.3780
Be4 0.8661 0.3780 0.3780

# 2
Entry from the Alexandria database: a geometry-optimized CeTiBe17 structure (GGA-PBE).

space group	No. 160
energy	-79.2	eV for the cell shown

Cell: 5.7267 5.7267 5.7267 Å, 82.88 82.88 82.88°
Atoms (fractional coordinates):
Ce1 0.0000 0.0000 0.0000
Ti1 0.6739 0.6739 0.6739
Be1 0.0535 0.3439 0.6229
Be2 0.0535 0.6229 0.3439
Be3 0.1879 0.6777 0.6777
Be4 0.2472 0.2472 0.2472
Be5 0.3430 0.3430 0.8390
Be6 0.3430 0.8390 0.3430
Be7 0.3439 0.0535 0.6229
Be8 0.3439 0.6229 0.0535
Be9 0.4395 0.4395 0.4395
Be10 0.4994 0.9953 0.9953
Be11 0.6229 0.0535 0.3439
Be12 0.6229 0.3439 0.0535
Be13 0.6777 0.1879 0.6777
Be14 0.6777 0.6777 0.1879
Be15 0.8390 0.3430 0.3430
Be16 0.9953 0.4994 0.9953
Be17 0.9953 0.9953 0.4994

# 3
Entry from the Alexandria database: a geometry-optimized CeBeTl structure (GGA-PBE).

space group	No. 63
energy	-23.9	eV for the cell shown

Cell: 7.9175 7.9175 3.8042 Å, 90.00 90.00 146.35°
Atoms (fractional coordinates):
Ce1 0.0695 0.9305 0.7500
Ce2 0.9305 0.0695 0.2500
Be1 0.4633 0.5367 0.7500
Be2 0.5367 0.4633 0.2500
Tl1 0.2949 0.7051 0.7500
Tl2 0.7051 0.2949 0.2500

# 4
Entry from the Alexandria database: a geometry-optimized CeTm2Be structure (GGA-PBE).

energy above the most stable polymorph in this dataset	0	meV/atom
space group	No. 123
energy	-18.2	eV for the cell shown

Cell: 3.3682 3.3682 8.6243 Å, 90.00 90.00 90.00°
Atoms (fractional coordinates):
Ce1 0.0000 0.0000 0.0000
Tm1 0.5000 0.5000 0.3094
Tm2 0.5000 0.5000 0.6906
Be1 0.0000 0.0000 0.5000